Entry a
Below is a relaxed structure of ZrSnPb3, with properties calculated at the PBE-GGA level.

```
5
Lattice="5.671 0.000 0.000 0.000 5.671 0.000 0.000 0.000 5.671" Properties=species:S:1:pos:R:3 pbc="T T T"
Pb 2.836 0.000 0.000
Pb 0.000 0.000 2.836
Pb 0.000 2.836 0.000
Sn 2.836 2.836 2.836
Zr 0.000 0.000 0.000
```

Entry b
Below is a relaxed structure of ZrSnPb3, with properties calculated at the PBE-GGA level.

```
5
Lattice="5.688 0.000 0.000 0.000 5.688 0.000 0.000 0.000 5.688" Properties=species:S:1:pos:R:3 pbc="T T T"
Pb 0.000 0.000 2.844
Pb 0.000 2.844 0.000
Pb 2.844 0.000 0.000
Zr 2.844 2.844 2.844
Sn 0.000 0.000 0.000
```

The least stable of them is entry b.

Entry a
Below is a relaxed structure of ZrSn2Pb, with properties calculated at the PBE-GGA level.

```
4
Lattice="0.000 3.751 3.751 3.751 0.000 3.751 3.751 3.751 0.000" Properties=species:S:1:pos:R:3 pbc="T T T"
Zr 0.000 0.000 0.000
Sn 5.627 5.627 5.627
Sn 1.876 1.876 1.876
Pb 3.751 3.751 3.751
```

Entry b
Below is a relaxed structure of ZrSn2Pb, with properties calculated at the PBE-GGA level.

```
8
Lattice="-2.782 1.634 -2.916 2.845 -0.834 -3.182 -4.541 -9.877 -4.444" Properties=species:S:1:pos:R:3 pbc="T T T"
Zr -0.833 -5.156 -5.337
Zr 0.031 0.400 -3.049
Sn -3.379 -6.700 -8.637
Sn -2.491 -1.569 -3.302
Sn 0.268 -2.770 -3.492
Sn -3.355 -7.116 -5.650
Pb 0.000 0.000 0.000
Pb -3.646 -3.922 -5.204
```

The least stable of them is entry a.

Entry a
Below is a relaxed structure of Sr4Pb3, with properties calculated at the PBE-GGA level.

```
7
Lattice="5.569 0.000 1.660 2.537 4.958 1.660 0.061 0.037 9.969" Properties=species:S:1:pos:R:3 pbc="T T T"
Sr 1.050 0.642 6.651
Sr 3.106 1.900 9.923
Sr 7.118 4.353 6.638
Sr 5.061 3.095 3.365
Pb 2.033 1.243 3.351
Pb 0.000 0.000 0.000
Pb 6.134 3.751 9.938
```

Entry b
Below is a relaxed structure of Sr4Pb3, with properties calculated at the PBE-GGA level.

```
7
Lattice="3.385 -5.863 0.000 3.385 5.863 0.000 0.000 0.000 6.714" Properties=species:S:1:pos:R:3 pbc="T T T"
Sr 3.385 -1.954 3.357
Sr 0.000 0.000 1.589
Sr 3.385 1.954 3.357
Sr 0.000 0.000 5.125
Pb 1.692 -2.931 0.000
Pb 3.385 0.000 0.000
Pb 1.692 2.931 0.000
```

The least stable of them is entry b.

Entry a
Below is a relaxed structure of Sr3Pb5, with properties calculated at the PBE-GGA level.

```
8
Lattice="-6.847 0.454 2.282 -0.431 -7.091 -1.349 1.525 -1.001 4.774" Properties=species:S:1:pos:R:3 pbc="T T T"
Pb -4.655 -5.440 3.081
Pb -3.423 0.227 1.141
Pb -0.216 -3.546 -0.674
Pb -1.099 -2.197 2.626
Pb 0.000 0.000 0.000
Sr -1.147 -5.854 1.874
Sr -4.607 -1.784 3.832
Sr -3.639 -3.319 0.466
```

Entry b
Below is a relaxed structure of Sr3Pb5, with properties calculated at the PBE-GGA level.

```
16
Lattice="-5.402 -1.344 -8.865 -3.278 -4.507 8.861 -3.354 4.974 1.289" Properties=species:S:1:pos:R:3 pbc="T T T"
Pb -5.663 -0.965 3.597
Pb -4.694 -2.398 -2.956
Pb -6.371 0.089 -2.311
Pb -1.799 1.005 -1.253
Pb -1.421 0.443 1.897
Pb -4.058 2.691 0.966
Pb -7.976 -3.568 0.319
Pb -3.986 -3.453 2.953
Pb -6.957 2.625 -6.322
Pb -5.210 0.025 8.253
Sr -4.212 0.404 -5.213
Sr -4.098 -0.954 0.321
Sr -4.544 3.226 -2.362
Sr -7.935 0.077 0.965
Sr -3.746 2.038 4.295
Sr -2.885 -1.571 5.856
```

The least stable of them is entry b.